# 1
An optimized crystal structure of RhPbO3. Source: Alexandria, functional GGA-PBE.

a b c (Å): 7.123 7.123 7.766
angles (deg): 120.44 120.44 26.19
Positions (direct):
Rh (0.174, 0.174, 0.301)
Rh (0.826, 0.826, 0.699)
Pb (0.395, 0.395, 0.193)
Pb (0.605, 0.605, 0.807)
O (0.175, 0.175, 0.044)
O (0.215, 0.215, 0.593)
O (0.427, 0.427, 0.780)
O (0.573, 0.573, 0.220)
O (0.785, 0.785, 0.407)
O (0.825, 0.825, 0.956)

**D(E_F)**: 3.70 states/eV/cell
**ΔE_f (raw)**: -0.834 eV/atom
**M_tot**: 0.0 μB per formula unit
**Space group**: C2/m (12)


# 2
An optimized crystal structure of Rh2PbO. Source: Alexandria, functional GGA-PBE.

a b c (Å): 6.288 6.288 6.288
angles (deg): 90.00 90.00 90.00
Positions (direct):
Rh (0.250, 0.250, 0.250)
Rh (0.250, 0.250, 0.750)
Rh (0.250, 0.750, 0.250)
Rh (0.250, 0.750, 0.750)
Rh (0.750, 0.250, 0.250)
Rh (0.750, 0.250, 0.750)
Rh (0.750, 0.750, 0.250)
Rh (0.750, 0.750, 0.750)
Pb (0.000, 0.000, 0.000)
Pb (0.000, 0.500, 0.500)
Pb (0.500, 0.000, 0.500)
Pb (0.500, 0.500, 0.000)
O (0.000, 0.000, 0.500)
O (0.000, 0.500, 0.000)
O (0.500, 0.000, 0.000)
O (0.500, 0.500, 0.500)

**D(E_F)**: 13.63 states/eV/cell
**ΔE_f (raw)**: 0.429 eV/atom
**M_tot**: 2.0 μB per formula unit
**Excess energy over the best structure of this formula in the dataset**: 519 meV per atom
**Space group**: Fm-3m (225)


# 3
An optimized crystal structure of Rh2PbO4. Source: Alexandria, functional GGA-PBE.

a b c (Å): 6.479 6.479 6.479
angles (deg): 60.00 60.00 60.00
Positions (direct):
Rh (0.000, 0.000, 0.000)
Rh (0.000, 0.000, 0.500)
Rh (0.000, 0.500, 0.000)
Rh (0.500, 0.000, 0.000)
Pb (0.375, 0.375, 0.375)
Pb (0.625, 0.625, 0.625)
O (0.180, 0.773, 0.773)
O (0.227, 0.227, 0.227)
O (0.227, 0.227, 0.820)
O (0.227, 0.820, 0.227)
O (0.773, 0.180, 0.773)
O (0.773, 0.773, 0.180)
O (0.773, 0.773, 0.773)
O (0.820, 0.227, 0.227)

**ΔE_f (raw)**: -0.787 eV/atom
**M_tot**: 0.0 μB per formula unit
**Space group**: Fd-3m (227)


# 4
An optimized crystal structure of RhPbO3. Source: Alexandria, functional GGA-PBE.

a b c (Å): 5.668 5.668 6.603
angles (deg): 98.24 98.24 41.33
Positions (direct):
Rh (0.137, 0.137, 0.423)
Rh (0.863, 0.863, 0.577)
Pb (0.384, 0.384, 0.124)
Pb (0.616, 0.616, 0.876)
O (0.057, 0.057, 0.684)
O (0.177, 0.177, 0.136)
O (0.329, 0.329, 0.534)
O (0.671, 0.671, 0.466)
O (0.823, 0.823, 0.864)
O (0.943, 0.943, 0.316)

**D(E_F)**: 4.76 states/eV/cell
**ΔE_f (raw)**: -0.854 eV/atom
**M_tot**: 0.0 μB per formula unit
**Space group**: C2/m (12)


# 5
An optimized crystal structure of RhPb3O. Source: Alexandria, functional GGA-PBE.

a b c (Å): 4.889 4.889 4.889
angles (deg): 90.00 90.00 90.00
Positions (direct):
Rh (0.000, 0.000, 0.000)
Pb (0.000, 0.500, 0.500)
Pb (0.500, 0.000, 0.500)
Pb (0.500, 0.500, 0.000)
O (0.500, 0.500, 0.500)

**D(E_F)**: 2.85 states/eV/cell
**ΔE_f (raw)**: 0.013 eV/atom
**M_tot**: 0.0 μB per formula unit
**Excess energy over the best structure of this formula in the dataset**: 0 meV per atom
**Space group**: Pm-3m (221)


# 6
An optimized crystal structure of RhPb3O. Source: Alexandria, functional GGA-PBE.

a b c (Å): 5.222 5.222 5.222
angles (deg): 90.00 90.00 90.00
Positions (direct):
Rh (0.000, 0.000, 0.000)
Pb (0.000, 0.000, 0.500)
Pb (0.000, 0.500, 0.000)
Pb (0.500, 0.000, 0.000)
O (0.500, 0.500, 0.500)

**D(E_F)**: 2.86 states/eV/cell
**ΔE_f (raw)**: 0.288 eV/atom
**M_tot**: 0.0 μB per formula unit
**Excess energy over the best structure of this formula in the dataset**: 275 meV per atom
**Space group**: Pm-3m (221)


# 7
An optimized crystal structure of RhPb2O. Source: Alexandria, functional GGA-PBE.

a b c (Å): 6.582 6.582 7.897
angles (deg): 90.00 90.00 90.00
Positions (direct):
Rh (0.000, 0.000, 0.000)
Rh (0.000, 0.500, 0.250)
Rh (0.500, 0.000, 0.750)
Rh (0.500, 0.500, 0.500)
Pb (0.210, 0.750, 0.625)
Pb (0.250, 0.210, 0.375)
Pb (0.250, 0.290, 0.875)
Pb (0.290, 0.750, 0.125)
Pb (0.710, 0.250, 0.125)
Pb (0.750, 0.710, 0.875)
Pb (0.750, 0.790, 0.375)
Pb (0.790, 0.250, 0.625)
O (0.000, 0.000, 0.500)
O (0.000, 0.500, 0.750)
O (0.500, 0.000, 0.250)
O (0.500, 0.500, 0.000)

**D(E_F)**: 7.40 states/eV/cell
**ΔE_f (raw)**: -0.189 eV/atom
**M_tot**: 0.0 μB per formula unit
**Excess energy over the best structure of this formula in the dataset**: 0 meV per atom
**Space group**: I-42d (122)


# 8
An optimized crystal structure of RhPb2O6. Source: Alexandria, functional GGA-PBE.

a b c (Å): 5.701 5.113 10.652
angles (deg): 90.00 122.35 90.00
Positions (direct):
Rh (0.000, 0.000, 0.000)
Rh (0.000, 0.500, 0.500)
Pb (0.310, 0.000, 0.810)
Pb (0.310, 0.500, 0.310)
Pb (0.690, 0.000, 0.190)
Pb (0.690, 0.500, 0.690)
O (0.002, 0.212, 0.156)
O (0.002, 0.288, 0.656)
O (0.304, 0.197, 0.000)
O (0.304, 0.303, 0.500)
O (0.309, 0.713, 0.655)
O (0.309, 0.787, 0.155)
O (0.691, 0.213, 0.845)
O (0.691, 0.287, 0.345)
O (0.696, 0.697, 0.500)
O (0.696, 0.803, 0.000)
O (0.998, 0.712, 0.344)
O (0.998, 0.788, 0.844)

**D(E_F)**: 2.91 states/eV/cell
**ΔE_f (raw)**: -0.797 eV/atom
**M_tot**: 1.0 μB per formula unit
**Space group**: P2_1/c (14)


# 9
An optimized crystal structure of Rh3PbO. Source: Alexandria, functional GGA-PBE.

a b c (Å): 5.057 5.057 5.057
angles (deg): 90.00 90.00 90.00
Positions (direct):
Rh (0.000, 0.000, 0.500)
Rh (0.000, 0.500, 0.000)
Rh (0.500, 0.000, 0.000)
Pb (0.000, 0.000, 0.000)
O (0.500, 0.500, 0.500)

**D(E_F)**: 19.16 states/eV/cell
**ΔE_f (raw)**: 1.990 eV/atom
**M_tot**: 3.7 μB per formula unit
**Space group**: Pm-3m (221)


# 10
An optimized crystal structure of RhPb2O. Source: Alexandria, functional GGA-PBE.

a b c (Å): 6.716 6.716 6.716
angles (deg): 90.00 90.00 90.00
Positions (direct):
Rh (0.000, 0.000, 0.000)
Rh (0.000, 0.500, 0.500)
Rh (0.500, 0.000, 0.500)
Rh (0.500, 0.500, 0.000)
Pb (0.250, 0.250, 0.250)
Pb (0.250, 0.250, 0.750)
Pb (0.250, 0.750, 0.250)
Pb (0.250, 0.750, 0.750)
Pb (0.750, 0.250, 0.250)
Pb (0.750, 0.250, 0.750)
Pb (0.750, 0.750, 0.250)
Pb (0.750, 0.750, 0.750)
O (0.000, 0.000, 0.500)
O (0.000, 0.500, 0.000)
O (0.500, 0.000, 0.000)
O (0.500, 0.500, 0.500)

**D(E_F)**: 16.01 states/eV/cell
**ΔE_f (raw)**: 0.085 eV/atom
**M_tot**: 0.0 μB per formula unit
**Excess energy over the best structure of this formula in the dataset**: 274 meV per atom
**Space group**: Fm-3m (225)


# 11
An optimized crystal structure of RhPb4O8. Source: Alexandria, functional GGA-PBE.

a b c (Å): 6.430 6.430 6.430
angles (deg): 66.38 66.38 66.38
Positions (direct):
Rh (0.000, 0.000, 0.000)
Pb (0.000, 0.000, 0.500)
Pb (0.000, 0.500, 0.000)
Pb (0.500, 0.000, 0.000)
Pb (0.500, 0.500, 0.500)
O (0.200, 0.779, 0.779)
O (0.221, 0.221, 0.800)
O (0.221, 0.800, 0.221)
O (0.239, 0.239, 0.239)
O (0.761, 0.761, 0.761)
O (0.779, 0.200, 0.779)
O (0.779, 0.779, 0.200)
O (0.800, 0.221, 0.221)

**D(E_F)**: 3.81 states/eV/cell
**ΔE_f (raw)**: -0.745 eV/atom
**M_tot**: 0.0 μB per formula unit
**Space group**: R-3m (166)


# 12
An optimized crystal structure of RuRh2PbO8. Source: Alexandria, functional GGA-PBE.

a b c (Å): 4.660 4.660 6.517
angles (deg): 90.00 90.00 90.42
Positions (direct):
Ru (0.000, 0.000, 0.000)
Rh (0.500, 0.500, 0.242)
Rh (0.500, 0.500, 0.758)
Pb (0.000, 0.000, 0.500)
O (0.199, 0.199, 0.225)
O (0.199, 0.199, 0.775)
O (0.301, 0.699, 0.000)
O (0.325, 0.675, 0.500)
O (0.675, 0.325, 0.500)
O (0.699, 0.301, 0.000)
O (0.801, 0.801, 0.225)
O (0.801, 0.801, 0.775)

**D(E_F)**: 6.61 states/eV/cell
**ΔE_f (raw)**: -0.800 eV/atom
**M_tot**: 0.0 μB per formula unit
**Space group**: Cmmm (65)